ErLu3 | SCAN | single point on PBEsol structure

The space group is P6_3/mmc (No. 194) and the conventional cell measures 6.9364, 6.9364 and 5.3830 Å, with angles of 90.00, 90.00 and 120.00 degrees. The inequivalent atoms are Er at (0.3333, 0.6667, 0.2500) and Lu at (0.1663, 0.3326, 0.7500).

Its formation energy is 0 meV/atom. The calculated volume comes out at 224.3 Å³ per cell. The calculation puts the total magnetization at 0.00 μB per atom. The calculation puts the total energy at -432.7 eV/cell. Its density of states at the Fermi level is 1.50 states/eV per atom.

=====

Er3Lu | SCAN | single point on PBEsol structure

The space group is P6_3/mmc (No. 194) and the conventional cell measures 6.9858, 6.9858 and 5.4273 Å, with angles of 90.00, 90.00 and 120.00 degrees. The inequivalent atoms are Er at (0.1670, 0.3339, 0.2500) and Lu at (0.3333, 0.6667, 0.7500).

Its formation energy is 0 meV/atom. The calculated volume comes out at 229.4 Å³ per cell. The calculation puts the total magnetization at 0.00 μB per atom. The calculation puts the total energy at -412.7 eV/cell. Its density of states at the Fermi level is 1.52 states/eV per atom.

=====

ErLuPd2 | SCAN | single point on PBEsol structure

The space group is Fm-3m (No. 225) and the conventional cell measures 6.7981, 6.7981 and 6.7981 Å, with angles of 90.00, 90.00 and 90.00 degrees. The inequivalent atoms are Er at (0.0000, 0.0000, 0.0000), Lu at (0.0000, 0.0000, 0.5000) and Pd at (0.2500, 0.2500, 0.2500).

Its formation energy is -1047 meV/atom. The calculated volume comes out at 314.2 Å³ per cell. The calculation puts the total magnetization at 0.00 μB per atom. The calculation puts the total energy at -701.7 eV/cell. Its density of states at the Fermi level is 0.50 states/eV per atom.

=====

ErLuRh2 | SCAN | single point on PBEsol structure

The space group is Fm-3m (No. 225) and the conventional cell measures 6.6354, 6.6354 and 6.6354 Å, with angles of 90.00, 90.00 and 90.00 degrees. The inequivalent atoms are Er at (0.0000, 0.0000, 0.0000), Lu at (0.0000, 0.0000, 0.5000) and Rh at (0.2500, 0.2500, 0.2500).

Its formation energy is -1124 meV/atom. The calculated volume comes out at 292.1 Å³ per cell. The calculation puts the total magnetization at 0.00 μB per atom. The calculation puts the total energy at -710.9 eV/cell. Its density of states at the Fermi level is 0.34 states/eV per atom.

=====

ErLuZn2 | SCAN | single point on PBEsol structure

The space group is Fm-3m (No. 225) and the conventional cell measures 6.9057, 6.9057 and 6.9057 Å, with angles of 90.00, 90.00 and 90.00 degrees. The inequivalent atoms are Er at (0.0000, 0.0000, 0.0000), Lu at (0.0000, 0.0000, 0.5000) and Zn at (0.2500, 0.2500, 0.2500).

Its formation energy is -439 meV/atom. The calculated volume comes out at 329.3 Å³ per cell. The calculation puts the total magnetization at 0.00 μB per atom. The calculation puts the total energy at -537.9 eV/cell. Its density of states at the Fermi level is 0.78 states/eV per atom.

=====

Er2Mg | SCAN | single point on PBEsol structure

The space group is Cmcm (No. 63) and the conventional cell measures 3.5340, 17.0265 and 5.3456 Å, with angles of 90.00, 90.00 and 90.00 degrees. The inequivalent atoms are Er at (0.0000, 0.0979, 0.2500), Er at (0.0000, 0.2262, 0.7500) and Mg at (0.0000, 0.4370, 0.2500).

Its formation energy is -56 meV/atom. The calculated volume comes out at 321.7 Å³ per cell. The calculation puts the total magnetization at 0.00 μB per atom. The calculation puts the total energy at -423.3 eV/cell. Its density of states at the Fermi level is 1.02 states/eV per atom.